Record 1
# PBE-GGA CaSi2Au5, optimized geometry
data_CaSi2Au5
_cell_length_a 4.262
_cell_length_b 7.196
_cell_length_c 10.193
_cell_angle_alpha 90.00
_cell_angle_beta 90.00
_cell_angle_gamma 90.00
_space_group_name_H-M_alt 'I m m m'
_space_group_IT_number 71
_space_group_name_Hall '-I 2 2'
loop_
_atom_site_label
_atom_site_fract_x
_atom_site_fract_y
_atom_site_fract_z
Ca1 0.000 0.000 0.000
Si1 0.000 0.500 0.244
Au1 0.000 0.206 0.357
Au2 0.000 0.500 0.000
# uncorrected formation energy	-0.313	eV/atom
# density	11.5	g/cm³
# calculated volume	312.7	Å³/cell
# crystal system	orthorhombic

Record 2
# PBE-GGA LiCuGePd2, optimized geometry
data_LiCuGePd2
_cell_length_a 4.688
_cell_length_b 4.688
_cell_length_c 4.520
_cell_angle_alpha 90.00
_cell_angle_beta 90.00
_cell_angle_gamma 90.00
_space_group_name_H-M_alt 'P 4/m m m'
_space_group_IT_number 123
_space_group_name_Hall '-P 4 2'
loop_
_atom_site_label
_atom_site_fract_x
_atom_site_fract_y
_atom_site_fract_z
Li1 0.000 0.000 0.000
Cu1 0.500 0.500 0.000
Ge1 0.500 0.500 0.500
Pd1 0.000 0.500 0.500
# density	6.0	g/cm³
# calculated volume	99.3	Å³/cell
# crystal system	tetragonal
# final energy	-0.15157	hartree per atom

Record 3
# PBE-GGA SrMgInGe, optimized geometry
data_SrMgInGe
_cell_length_a 7.477
_cell_length_b 7.477
_cell_length_c 7.477
_cell_angle_alpha 90.00
_cell_angle_beta 90.00
_cell_angle_gamma 90.00
_space_group_name_H-M_alt 'F -4 3 m'
_space_group_IT_number 216
_space_group_name_Hall 'F -4 2 3'
loop_
_atom_site_label
_atom_site_fract_x
_atom_site_fract_y
_atom_site_fract_z
Sr1 0.000 0.000 0.000
Mg1 0.000 0.000 0.500
In1 0.250 0.250 0.250
Ge1 0.250 0.250 0.750
# density	4.8	g/cm³
# calculated volume	418.0	Å³/cell
# crystal system	cubic
# final energy	-0.10570	hartree per atom

Among the records above, which one has the highest density?
CaSi2Au5

What is the density in the third record?
4.8 g/cm³